No. 1
Density functional theory data (PBE) for an optimized crystal structure of Nd3ScGe6.

The structure in POSCAR format:
```
Nd3ScGe6
1.0
5.851 3.378 3.827
-5.851 3.378 3.827
0.000 -6.757 3.827
Nd Sc Ge
6 2 12
Direct
0.183 0.750 0.317
0.250 0.683 0.817
0.317 0.183 0.750
0.683 0.817 0.250
0.750 0.317 0.183
0.817 0.250 0.683
0.000 0.000 0.000
0.500 0.500 0.500
0.015 0.089 0.370
0.089 0.370 0.015
0.130 0.411 0.485
0.370 0.015 0.089
0.411 0.485 0.130
0.485 0.130 0.411
0.515 0.870 0.589
0.589 0.515 0.870
0.630 0.985 0.911
0.870 0.589 0.515
0.911 0.630 0.985
0.985 0.911 0.630
```

## Properties
For the energy of formation from the pure elements, the calculation gives -695 meV/atom. The volume comes out at 453.88 Å³/cell. The total energy comes out at -5.529 eV per atom.

***

No. 2
Density functional theory data (PBE) for an optimized crystal structure of Nd2ScGe2.

The structure in POSCAR format:
```
Nd2ScGe2
1.0
-2.158 3.103 4.689
2.158 -3.103 4.689
2.158 3.103 -4.689
Nd Sc Ge
2 1 2
Direct
0.202 0.202 0.000
0.798 0.798 0.000
0.500 0.000 0.500
0.218 0.500 0.718
0.782 0.500 0.282
```

## Properties
For the energy of formation from the pure elements, the calculation gives -764 meV/atom. The volume comes out at 125.61 Å³/cell. The calculation puts the energy above the most stable polymorph in this dataset at 0.030 eV/f.u. The total energy comes out at -5.784 eV per atom.

***

No. 3
Density functional theory data (PBE) for an optimized crystal structure of NdScGe.

The structure in POSCAR format:
```
NdScGe
1.0
0.000 3.423 3.423
3.423 0.000 3.423
3.423 3.423 0.000
Nd Sc Ge
1 1 1
Direct
0.000 0.000 0.000
0.500 0.500 0.500
0.250 0.250 0.250
```

## Properties
For the energy of formation from the pure elements, the calculation gives -509 meV/atom. The volume comes out at 80.22 Å³/cell. The calculation puts the energy above the most stable polymorph in this dataset at 0.634 eV/f.u. The total energy comes out at -5.748 eV per atom.

***

No. 4
Density functional theory data (PBE) for an optimized crystal structure of NdScGe.

The structure in POSCAR format:
```
NdScGe
1.0
4.330 0.000 0.000
0.000 4.330 0.000
0.000 0.000 7.962
Nd Sc Ge
2 2 2
Direct
0.250 0.250 0.146
0.750 0.750 0.854
0.250 0.750 0.500
0.750 0.250 0.500
0.250 0.250 0.740
0.750 0.750 0.260
```

## Properties
For the energy of formation from the pure elements, the calculation gives -696 meV/atom. The volume comes out at 149.31 Å³/cell. The calculation puts the energy above the most stable polymorph in this dataset at 0.074 eV/f.u. The total energy comes out at -5.935 eV per atom.

***

No. 5
Density functional theory data (PBE) for an optimized crystal structure of NdSc2Ge2.

The structure in POSCAR format:
```
NdSc2Ge2
1.0
5.031 0.000 0.000
0.000 4.004 0.000
-1.296 0.000 11.599
Nd Sc Ge
2 4 4
Direct
0.185 0.250 0.243
0.815 0.750 0.757
0.249 0.750 0.489
0.340 0.250 0.896
0.660 0.750 0.104
0.751 0.250 0.511
0.155 0.750 0.035
0.291 0.250 0.660
0.709 0.750 0.340
0.845 0.250 0.965
```

## Properties
For the energy of formation from the pure elements, the calculation gives -601 meV/atom. The volume comes out at 233.63 Å³/cell. The total energy comes out at -5.935 eV per atom.

***

No. 6
Density functional theory data (PBE) for an optimized crystal structure of Nd2Sc3Ge4.

The structure in POSCAR format:
```
Nd2Sc3Ge4
1.0
7.575 0.000 0.000
0.000 7.612 0.000
-2.424 0.000 6.944
Nd Sc Ge
4 6 8
Direct
0.194 0.174 0.068
0.194 0.326 0.568
0.806 0.674 0.432
0.806 0.826 0.932
0.251 0.670 0.250
0.251 0.830 0.750
0.500 0.000 0.500
0.500 0.500 0.000
0.749 0.170 0.250
0.749 0.330 0.750
0.084 0.542 0.860
0.084 0.958 0.360
0.497 0.131 0.864
0.497 0.369 0.364
0.503 0.631 0.636
0.503 0.869 0.136
0.916 0.042 0.640
0.916 0.458 0.140
```

## Properties
For the energy of formation from the pure elements, the calculation gives -896 meV/atom. The volume comes out at 400.37 Å³/cell. The calculation puts the energy above the most stable polymorph in this dataset at 0.000 eV/f.u. The total energy comes out at -6.118 eV per atom.